(1)
This record from Alexandria via LeMat-Bulk describes a geometry-optimized CrCdP2 structure. The functional is PBEsol.

Output
M_tot	0.222	μB per atom
SG	C2/m (12)
final energy	-22.9	eV/cell
calculated formation energy	32	meV/atom

a b c (Å): 4.0842 4.0842 5.2869
angles (deg): 99.07 99.07 44.48
With the nearest neighbours (Å) after each atom.
Element x y z (fractional)
Cr (0.0000, 0.0000, 0.0000)  6 P 2.35-2.39
Cd (0.5000, 0.5000, 0.5000)  6 P 2.66-2.94
P (0.2760, 0.2760, 0.8360)  3 Cr 2.35-2.39, 2 P 2.40
P (0.7240, 0.7240, 0.1640)  3 Cr 2.35-2.39, 2 P 2.40

---

(2)
This record from Alexandria via LeMat-Bulk describes a geometry-optimized CrCdRe2P structure. The functional is PBEsol.

Output
M_tot	0.000	μB per atom
SG	P4/mmm (123)
final energy	-34.8	eV/cell
calculated formation energy	1816	meV/atom

a b c (Å): 4.3861 4.3861 4.8260
angles (deg): 90.00 90.00 90.00
With the nearest neighbours (Å) after each atom.
Element x y z (fractional)
Cr (0.0000, 0.0000, 0.0000)  4 Re 2.19, 2 Cd 2.41
Cd (0.0000, 0.0000, 0.5000)  2 Cr 2.41
Re (0.0000, 0.5000, 0.0000)  2 Cr 2.19
Re (0.5000, 0.0000, 0.0000)  2 Cr 2.19
P (0.5000, 0.5000, 0.5000)  4 Cd 3.10, 8 Re 3.26

---

(3)
This record from Alexandria via LeMat-Bulk describes a geometry-optimized CrCdTeP2 structure. The functional is PBEsol.

Output
M_tot	0.110	μB per atom
SG	P4/mmm (123)
final energy	-25.4	eV/cell
raw formation energy	0.226	eV/atom

a b c (Å): 4.2758 4.2758 5.7647
angles (deg): 90.00 90.00 90.00
With the nearest neighbours (Å) after each atom.
Element x y z (fractional)
Cr (0.0000, 0.0000, 0.0000)  4 P 2.14
Cd (0.5000, 0.5000, 0.5000)  4 Te 3.02
Te (0.0000, 0.0000, 0.5000)  2 Cr 2.88, 4 Cd 3.02
P (0.0000, 0.5000, 0.0000)  2 Cr 2.14
P (0.5000, 0.0000, 0.0000)  2 Cr 2.14

---

(4)
This record from Alexandria via LeMat-Bulk describes a geometry-optimized CrCd2Pb structure. The functional is PBEsol.

Output
M_tot	0.849	μB per atom
SG	Immm (71)
final energy	-15.2	eV/cell
calculated formation energy	367	meV/atom

a b c (Å): 6.3081 6.3081 6.3081
angles (deg): 150.97 135.78 53.77
With the nearest neighbours (Å) after each atom.
Element x y z (fractional)
Cr (0.0000, 0.0000, 0.0000)  4 Pb 2.85, 4 Cd 2.88, 2 Cr 3.16
Cd (0.2138, 0.7138, 0.5000)  2 Cr 2.88, 6 Cd 2.97-3.16
Cd (0.7862, 0.2862, 0.5000)  2 Cr 2.88, 6 Cd 2.97-3.16
Pb (0.5000, 0.5000, 0.0000)  4 Cr 2.85, 2 Pb 3.16

---

(5)
This record from Alexandria via LeMat-Bulk describes a geometry-optimized Cr3CdPd structure. The functional is PBEsol.

Output
M_tot	2.596	μB per atom
SG	Pm-3m (221)
final energy	-28.0	eV/cell
calculated formation energy	1985	meV/atom

a b c (Å): 4.8816 4.8816 4.8816
angles (deg): 90.00 90.00 90.00
With the nearest neighbours (Å) after each atom.
Element x y z (fractional)
Cr (0.0000, 0.0000, 0.5000)  2 Cd 2.44
Cr (0.0000, 0.5000, 0.0000)  2 Cd 2.44
Cr (0.5000, 0.0000, 0.0000)  2 Cd 2.44
Cd (0.0000, 0.0000, 0.0000)  6 Cr 2.44
Pd (0.5000, 0.5000, 0.5000)  12 Cr 3.45

---

(6)
This record from Alexandria via LeMat-Bulk describes a geometry-optimized Cr4CdPt structure. The functional is PBEsol.

Output
M_tot	0.000	μB per atom
SG	F-43m (216)
final energy	-47.8	eV/cell
calculated formation energy	224	meV/atom

a b c (Å): 4.7916 4.7916 4.7916
angles (deg): 60.00 60.00 60.00
With the nearest neighbours (Å) after each atom.
Element x y z (fractional)
Cr (0.1218, 0.1218, 0.1218)  6 Cr 2.33-2.46
Cr (0.1218, 0.1218, 0.6347)  6 Cr 2.33-2.46
Cr (0.1218, 0.6347, 0.1218)  6 Cr 2.33-2.46
Cr (0.6347, 0.1218, 0.1218)  6 Cr 2.33-2.46
Cd (0.7500, 0.7500, 0.7500)  12 Cr 2.80, 4 Pt 2.93
Pt (0.5000, 0.5000, 0.5000)  12 Cr 2.82, 4 Cd 2.93

---

(7)
This record from Alexandria via LeMat-Bulk describes a geometry-optimized CrCdPt4 structure. The functional is PBEsol.

Output
M_tot	0.636	μB per atom
SG	F-43m (216)
final energy	-39.1	eV/cell
calculated formation energy	25	meV/atom

a b c (Å): 5.2147 5.2147 5.2147
angles (deg): 60.00 60.00 60.00
With the nearest neighbours (Å) after each atom.
Element x y z (fractional)
Cr (0.0000, 0.0000, 0.0000)  12 Pt 3.06, 4 Cd 3.19
Cd (0.7500, 0.7500, 0.7500)  12 Pt 3.06, 4 Cr 3.19
Pt (0.3749, 0.3749, 0.3749)  6 Pt 2.61
Pt (0.3749, 0.3749, 0.8753)  6 Pt 2.61
Pt (0.3749, 0.8753, 0.3749)  6 Pt 2.61
Pt (0.8753, 0.3749, 0.3749)  6 Pt 2.61

---

(8)
This record from Alexandria via LeMat-Bulk describes a geometry-optimized CrCd2Pt structure. The functional is PBEsol.

Output
M_tot	1.011	μB per atom
SG	Pmmm (47)
final energy	-19.2	eV/cell
calculated formation energy	94	meV/atom

a b c (Å): 2.9897 3.9392 5.7723
angles (deg): 90.00 90.00 90.00
With the nearest neighbours (Å) after each atom.
Element x y z (fractional)
Cr (0.0000, 0.0000, 0.0000)  8 Cd 2.87, 2 Pt 2.89, 2 Cr 2.99
Cd (0.5000, 0.5000, 0.2526)  4 Pt 2.86, 4 Cd 2.86-2.99, 4 Cr 2.87
Cd (0.5000, 0.5000, 0.7474)  4 Pt 2.86, 4 Cd 2.86-2.99, 4 Cr 2.87
Pt (0.0000, 0.0000, 0.5000)  8 Cd 2.86, 2 Cr 2.89, 2 Pt 2.99

---

(9)
This record from Alexandria via LeMat-Bulk describes a geometry-optimized CrCd2Pt structure. The functional is PBEsol.

Output
M_tot	0.952	μB per atom
SG	I-4m2 (119)
final energy	-19.3	eV/cell
calculated formation energy	69	meV/atom

a b c (Å): 4.9287 4.9287 4.9287
angles (deg): 130.62 130.62 72.42
With the nearest neighbours (Å) after each atom.
Element x y z (fractional)
Cr (0.0000, 0.0000, 0.0000)  8 Cd 2.86-2.91, 4 Pt 2.86
Cd (0.5000, 0.5000, 0.0000)  4 Cd 2.86, 4 Pt 2.86, 4 Cr 2.91
Cd (0.7500, 0.2500, 0.5000)  4 Cd 2.86, 4 Cr 2.86, 4 Pt 2.91
Pt (0.2500, 0.7500, 0.5000)  8 Cd 2.86-2.91, 4 Cr 2.86

---

(10)
This record from Alexandria via LeMat-Bulk describes a geometry-optimized Rb2ZnCrCd structure. The functional is PBEsol.

Output
M_tot	0.928	μB per atom
SG	P4/mmm (123)
final energy	-10.8	eV/cell
calculated formation energy	852	meV/atom

a b c (Å): 6.6687 6.6687 5.2922
angles (deg): 90.00 90.00 90.00
With the nearest neighbours (Å) after each atom.
Element x y z (fractional)
Rb (0.0000, 0.5000, 0.0000)  2 Cd 3.33
Rb (0.5000, 0.0000, 0.0000)  2 Cd 3.33
Zn (0.0000, 0.0000, 0.5000)  8 Rb 4.26, 4 Cr 4.72
Cr (0.5000, 0.5000, 0.5000)  2 Cd 2.65
Cd (0.5000, 0.5000, 0.0000)  2 Cr 2.65

---

(11)
This record from Alexandria via LeMat-Bulk describes a geometry-optimized CrCdRe structure. The functional is PBEsol.

Output
M_tot	0.625	μB per atom
ΔE to the lowest computed polymorph	1340	meV per atom
SG	F-43m (216)
final energy	-19.6	eV/cell
calculated formation energy	1711	meV/atom

a b c (Å): 4.3064 4.3064 4.3064
angles (deg): 60.00 60.00 60.00
With the nearest neighbours (Å) after each atom.
Element x y z (fractional)
Cr (0.0000, 0.0000, 0.0000)  4 Cd 2.64
Cd (0.7500, 0.7500, 0.7500)  4 Cr 2.64, 4 Re 2.64
Re (0.5000, 0.5000, 0.5000)  4 Cd 2.64

---

(12)
This record from Alexandria via LeMat-Bulk describes a geometry-optimized CrCdRe structure. The functional is PBEsol.

Output
M_tot	0.000	μB per atom
ΔE to the lowest computed polymorph	0	meV per atom
SG	I4mm (107)
final energy	-23.7	eV/cell
calculated formation energy	371	meV/atom

a b c (Å): 5.5298 5.5298 5.5298
angles (deg): 148.62 148.62 44.97
With the nearest neighbours (Å) after each atom.
Element x y z (fractional)
Cr (0.0000, 0.0000, 0.0000)  4 Re 2.43
Cd (0.3155, 0.3155, 0.0000)  4 Cr 2.83, 5 Re 2.93-3.08, 4 Cd 2.99
Re (0.6171, 0.6171, 0.0000)  4 Cr 2.43

---

(13)
This record from Alexandria via LeMat-Bulk describes a geometry-optimized CrCdRe2Ru structure. The functional is PBEsol.

Output
M_tot	0.298	μB per atom
SG	P4/mmm (123)
final energy	-39.1	eV/cell
calculated formation energy	1835	meV/atom

a b c (Å): 4.6424 4.6424 4.4839
angles (deg): 90.00 90.00 90.00
With the nearest neighbours (Å) after each atom.
Element x y z (fractional)
Cr (0.0000, 0.0000, 0.0000)  2 Ru 2.24
Cd (0.5000, 0.5000, 0.0000)  8 Re 3.23, 4 Cr 3.28
Re (0.0000, 0.5000, 0.5000)  2 Ru 2.32
Re (0.5000, 0.0000, 0.5000)  2 Ru 2.32
Ru (0.0000, 0.0000, 0.5000)  2 Cr 2.24, 4 Re 2.32

---

(14)
This record from Alexandria via LeMat-Bulk describes a geometry-optimized CrCd2Rh structure. The functional is PBEsol.

Output
M_tot	0.961	μB per atom
SG	I4/mmm (139)
final energy	-20.1	eV/cell
calculated formation energy	164	meV/atom

a b c (Å): 4.9376 4.9376 4.9376
angles (deg): 131.95 131.95 70.30
With the nearest neighbours (Å) after each atom.
Element x y z (fractional)
Cr (0.0000, 0.0000, 0.0000)  4 Rh 2.84, 8 Cd 2.85
Cd (0.2500, 0.7500, 0.5000)  4 Cd 2.84, 4 Rh 2.85, 4 Cr 2.85
Cd (0.7500, 0.2500, 0.5000)  4 Cd 2.84, 4 Rh 2.85, 4 Cr 2.85
Rh (0.5000, 0.5000, 0.0000)  4 Cr 2.84, 8 Cd 2.85